# LiFeTe2

A PBEsol-optimized structure of LiFeTe2 (SCAN, the Alexandria database).

* raw formation energy: -0.268 eV per atom
* symmetry: R-3m (166)

a b c (Å): 7.0695 7.0695 7.0695
angles (deg): 30.79 30.79 30.79
Closest atoms and distances in Å follow each position.
Fractional positions:
Li (0.0000, 0.0000, 0.0000)  6 Te 2.95
Fe (0.5000, 0.5000, 0.5000)  6 Te 2.56
Te (0.2341, 0.2341, 0.2341)  3 Fe 2.56
Te (0.7659, 0.7659, 0.7659)  3 Fe 2.56

***

# UF4

A PBEsol-optimized structure of UF4 (SCAN, the Alexandria database).

* raw formation energy: -3.796 eV per atom
* symmetry: C2/c (15)

a b c (Å): 8.3173 8.3173 8.3067
angles (deg): 116.99 116.99 80.60
Closest atoms and distances in Å follow each position.
Fractional positions:
U (0.2136, 0.7864, 0.7500)  8 F 2.24-2.32
U (0.2236, 0.3673, 0.1689)  8 F 2.22-2.29
U (0.3673, 0.2236, 0.6689)  8 F 2.22-2.29
U (0.6327, 0.7764, 0.3311)  8 F 2.22-2.29
U (0.7764, 0.6327, 0.8311)  8 F 2.22-2.29
U (0.7864, 0.2136, 0.2500)  8 F 2.24-2.32
F (0.0000, 0.5000, 0.0000)  2 U 2.24
F (0.0276, 0.7235, 0.8471)  2 U 2.26
F (0.0658, 0.1750, 0.4570)  2 U 2.26-2.29
F (0.1750, 0.0658, 0.9570)  2 U 2.26-2.29
F (0.1882, 0.5992, 0.4295)  2 U 2.26-2.32
F (0.2589, 0.3192, 0.8952)  2 U 2.22-2.27
F (0.2601, 0.5018, 0.7152)  2 U 2.24-2.26
F (0.2765, 0.9724, 0.6529)  2 U 2.26
F (0.3192, 0.2589, 0.3952)  2 U 2.22-2.27
F (0.3962, 0.6038, 0.2500)  2 U 2.29
F (0.4008, 0.8118, 0.0705)  2 U 2.26-2.32
F (0.4982, 0.7399, 0.7848)  2 U 2.24-2.26
F (0.5000, 0.0000, 0.5000)  2 U 2.24
F (0.5018, 0.2601, 0.2152)  2 U 2.24-2.26
F (0.5992, 0.1882, 0.9295)  2 U 2.26-2.32
F (0.6038, 0.3962, 0.7500)  2 U 2.29
F (0.6808, 0.7411, 0.6048)  2 U 2.22-2.27
F (0.7235, 0.0276, 0.3471)  2 U 2.26
F (0.7399, 0.4982, 0.2848)  2 U 2.24-2.26
F (0.7411, 0.6808, 0.1048)  2 U 2.22-2.27
F (0.8118, 0.4008, 0.5705)  2 U 2.26-2.32
F (0.8250, 0.9342, 0.0430)  2 U 2.26-2.29
F (0.9342, 0.8250, 0.5430)  2 U 2.26-2.29
F (0.9724, 0.2765, 0.1529)  2 U 2.26

***

# V4Cu3O12

A PBEsol-optimized structure of V4Cu3O12 (SCAN, the Alexandria database).

* raw formation energy: -1.989 eV per atom
* symmetry: Im-3 (204)

a b c (Å): 6.1899 6.1899 6.1899
angles (deg): 109.47 109.47 109.47
Closest atoms and distances in Å follow each position.
Fractional positions:
V (0.0000, 0.0000, 0.5000)  6 O 1.89
V (0.0000, 0.5000, 0.0000)  6 O 1.89
V (0.5000, 0.0000, 0.0000)  6 O 1.89
V (0.5000, 0.5000, 0.5000)  6 O 1.89
Cu (0.0000, 0.5000, 0.5000)  4 O 1.92
Cu (0.5000, 0.0000, 0.5000)  4 O 1.92
Cu (0.5000, 0.5000, 0.0000)  4 O 1.92
O (0.1206, 0.8142, 0.3064)  2 V 1.89, 1 Cu 1.92
O (0.1858, 0.3064, 0.4921)  2 V 1.89, 1 Cu 1.92
O (0.1858, 0.6936, 0.8794)  2 V 1.89, 1 Cu 1.92
O (0.3064, 0.1206, 0.8142)  2 V 1.89, 1 Cu 1.92
O (0.3064, 0.4921, 0.1858)  2 V 1.89, 1 Cu 1.92
O (0.4921, 0.1858, 0.3064)  2 V 1.89, 1 Cu 1.92
O (0.5079, 0.8142, 0.6936)  2 V 1.89, 1 Cu 1.92
O (0.6936, 0.5079, 0.8142)  2 V 1.89, 1 Cu 1.92
O (0.6936, 0.8794, 0.1858)  2 V 1.89, 1 Cu 1.92
O (0.8142, 0.3064, 0.1206)  2 V 1.89, 1 Cu 1.92
O (0.8142, 0.6936, 0.5079)  2 V 1.89, 1 Cu 1.92
O (0.8794, 0.1858, 0.6936)  2 V 1.89, 1 Cu 1.92

***

# BaLiZrBi2

A PBEsol-optimized structure of BaLiZrBi2 (SCAN, the Alexandria database).

* formation energy from the elements: -269 meV per atom
* symmetry: P4/mmm (123)

a b c (Å): 5.6268 5.6268 5.4449
angles (deg): 90.00 90.00 90.00
Closest atoms and distances in Å follow each position.
Fractional positions:
Ba (0.0000, 0.0000, 0.0000)  8 Bi 3.91, 4 Li 3.98
Li (0.5000, 0.5000, 0.0000)  2 Zr 2.72
Zr (0.5000, 0.5000, 0.5000)  2 Li 2.72, 4 Bi 2.81
Bi (0.0000, 0.5000, 0.5000)  2 Zr 2.81
Bi (0.5000, 0.0000, 0.5000)  2 Zr 2.81

***

# Li2ScPt

A PBEsol-optimized structure of Li2ScPt (SCAN, the Alexandria database).

* formation energy from the elements: -704 meV per atom
* symmetry: F-43m (216)

a b c (Å): 4.4749 4.4749 4.4749
angles (deg): 60.00 60.00 60.00
Closest atoms and distances in Å follow each position.
Fractional positions:
Li (0.0000, 0.0000, 0.0000)  4 Sc 2.74, 4 Li 2.74
Li (0.2500, 0.2500, 0.2500)  4 Li 2.74, 4 Pt 2.74
Sc (0.7500, 0.7500, 0.7500)  4 Li 2.74, 4 Pt 2.74
Pt (0.5000, 0.5000, 0.5000)  4 Sc 2.74, 4 Li 2.74

***

# CaCoP2O7

A PBEsol-optimized structure of CaCoP2O7 (SCAN, the Alexandria database).

* raw formation energy: -2.556 eV per atom
* symmetry: P-1 (2)

a b c (Å): 6.2712 6.4936 6.8063
angles (deg): 96.00 90.48 112.45
Closest atoms and distances in Å follow each position.
Fractional positions:
Ca (0.2085, 0.2411, 0.3837)  7 O 2.29-2.56
Ca (0.7915, 0.7589, 0.6163)  7 O 2.29-2.56
Co (0.2490, 0.6277, 0.8116)  5 O 1.98-2.11
Co (0.7510, 0.3723, 0.1884)  5 O 1.98-2.11
P (0.2549, 0.7274, 0.3689)  4 O 1.51-1.59
P (0.3329, 0.1534, 0.8763)  4 O 1.52-1.63
P (0.6671, 0.8466, 0.1237)  4 O 1.52-1.63
P (0.7451, 0.2726, 0.6311)  4 O 1.51-1.59
O (0.0904, 0.5146, 0.2414)  1 P 1.54
O (0.1461, 0.8855, 0.4535)  1 P 1.51
O (0.1630, 0.9096, 0.8660)  1 P 1.53
O (0.2595, 0.3060, 0.7617)  1 P 1.52
O (0.3745, 0.6480, 0.5275)  1 P 1.55
O (0.4240, 0.2577, 0.0900)  1 P 1.54
O (0.4441, 0.8687, 0.2299)  2 P 1.59-1.63
O (0.5559, 0.1313, 0.7701)  2 P 1.59-1.63
O (0.5760, 0.7423, 0.9100)  1 P 1.54
O (0.6255, 0.3520, 0.4725)  1 P 1.55
O (0.7405, 0.6940, 0.2383)  1 P 1.52
O (0.8370, 0.0904, 0.1340)  1 P 1.53
O (0.8539, 0.1145, 0.5465)  1 P 1.51
O (0.9096, 0.4854, 0.7586)  1 P 1.54

***

# LiAlRe2

A PBEsol-optimized structure of LiAlRe2 (SCAN, the Alexandria database).

* formation energy from the elements: -40 meV per atom
* symmetry: Pmmm (47)

a b c (Å): 3.0611 4.2047 4.3042
angles (deg): 90.00 90.00 90.00
Closest atoms and distances in Å follow each position.
Fractional positions:
Li (0.0000, 0.0000, 0.0000)  4 Al 2.60, 4 Re 2.64
Al (0.5000, 0.5000, 0.0000)  4 Li 2.60, 4 Re 2.64
Re (0.0000, 0.5000, 0.5000)  4 Re 2.60, 4 Al 2.64
Re (0.5000, 0.0000, 0.5000)  4 Re 2.60, 4 Li 2.64

***

# BaTa2Au

A PBEsol-optimized structure of BaTa2Au (SCAN, the Alexandria database).

* formation energy from the elements: 875 meV per atom
* symmetry: C2/m (12)

a b c (Å): 6.2950 6.2950 3.0299
angles (deg): 103.35 103.35 123.59
Closest atoms and distances in Å follow each position.
Fractional positions:
Ba (0.0000, 0.0000, 0.0000)  4 Au 2.98-3.04, 2 Ba 3.03, 4 Ta 3.16
Ta (0.0000, 0.5000, 0.5000)  6 Ta 2.98-3.04, 2 Ba 3.16, 2 Au 3.16
Ta (0.5000, 0.0000, 0.5000)  6 Ta 2.98-3.04, 2 Ba 3.16, 2 Au 3.16
Au (0.5000, 0.5000, 0.0000)  4 Ba 2.98-3.04, 2 Au 3.03, 4 Ta 3.16

***

Number 1: calculated density 6.430 g/cm³, total moment 0.72 μB per formula unit. Number 2: calculated density 6.867 g/cm³, total moment 2.00 μB per formula unit. Number 3: calculated density 5.333 g/cm³, total moment 1.00 μB per formula unit. Number 4: calculated density 6.294 g/cm³, total moment 0.36 μB per formula unit. Number 5: calculated density 6.654 g/cm³, total moment 0.00 μB per formula unit. Number 6: calculated density 3.563 g/cm³, total moment 3.00 μB per formula unit. Number 7: calculated density 12.180 g/cm³, total moment 0.00 μB per formula unit. Number 8: calculated density 13.248 g/cm³, total moment 0.00 μB per formula unit.